DFT (PBE) results for an optimized crystal structure of TiBrO.

Properties
Formation energy from raw total energies (meV per atom): -1943
Crystal system: orthorhombic
Mass density (g cm⁻³): 3.41

Unit cell a=3.3197 b=8.4631 c=9.9593 alpha=90.00 beta=90.00 gamma=90.00
Element x y z (fractional)
Br 0.2500 0.5014 0.2881
Br 0.7500 0.9986 0.7881
Br 0.2500 0.0014 0.2119
Br 0.7500 0.4986 0.7119
Ti 0.2500 0.9331 0.5895
Ti 0.7500 0.0669 0.4105
Ti 0.2500 0.4331 0.9105
Ti 0.7500 0.5669 0.0895
O 0.7500 0.8614 0.5097
O 0.2500 0.6386 0.0097
O 0.7500 0.3614 0.9903
O 0.2500 0.1386 0.4903

***

DFT (PBE) results for an optimized crystal structure of Ti3BrO.

Properties
Formation energy from raw total energies (meV per atom): -642
Crystal system: cubic
Mass density (g cm⁻³): 5.37
Energy relative to the lowest polymorph listed for this composition (eV/f.u.): 0.00

Unit cell a=4.2007 b=4.2007 c=4.2007 alpha=90.00 beta=90.00 gamma=90.00
Each line ends with the local moment (μB).
Element x y z (fractional)
O 0.0000 0.0000 0.0000  0.00
Br 0.5000 0.5000 0.5000  0.02
Ti 0.0000 0.5000 0.0000  0.38
Ti 0.0000 0.0000 0.5000  0.34
Ti 0.5000 0.0000 0.0000  0.34

***

DFT (PBE) results for an optimized crystal structure of Ti2ZnBrO.

Properties
Formation energy from raw total energies (meV per atom): 1059
Crystal system: tetragonal
Mass density (g cm⁻³): 4.08

Unit cell a=4.6649 b=4.8050 c=4.6649 alpha=90.00 beta=90.00 gamma=90.00
Each line ends with the local moment (μB).
Element x y z (fractional)
Zn 0.0000 0.5000 0.0000  0.00
O 0.5000 0.5000 0.5000  0.00
Br 0.0000 0.0000 0.0000  0.00
Ti 0.0000 0.0000 0.5000  0.19
Ti 0.5000 0.0000 0.0000  0.21

***

DFT (PBE) results for an optimized crystal structure of Tl3Br2O.

Properties
Formation energy from raw total energies (meV per atom): -588
Crystal system: monoclinic
Mass density (g cm⁻³): 7.42

Unit cell a=6.4745 b=7.9316 c=7.8544 alpha=104.62 beta=114.34 gamma=90.00
Element x y z (fractional)
Tl 0.4431 0.2500 0.0000
Tl 0.5569 0.7500 0.0000
Tl 0.1220 0.0625 0.2451
Tl 0.8769 0.4375 0.7549
Tl 0.1231 0.5625 0.2451
Tl 0.8780 0.9375 0.7549
Br 0.6867 0.5922 0.3700
Br 0.6833 0.0922 0.3700
Br 0.3167 0.9078 0.6300
Br 0.3133 0.4078 0.6300
O 0.9512 0.7500 0.0000
O 0.0488 0.2500 0.0000

***

DFT (PBE) results for an optimized crystal structure of Tl12BrO5.

Properties
Formation energy from raw total energies (meV per atom): -524
Crystal system: monoclinic
Mass density (g cm⁻³): 8.94

Unit cell a=6.4793 b=6.4842 c=13.4959 alpha=94.42 beta=98.88 gamma=60.02
Element x y z (fractional)
Tl 0.7991 0.0000 0.3899
Tl 0.2009 0.0000 0.6101
Tl 0.5510 0.0000 0.8723
Tl 0.4490 0.0000 0.1277
Tl 0.3675 0.5917 0.8724
Tl 0.0408 0.5917 0.1277
Tl 0.9592 0.4083 0.8723
Tl 0.6325 0.4083 0.1276
Tl 0.5359 0.3325 0.6097
Tl 0.8683 0.6676 0.6097
Tl 0.1317 0.3325 0.3903
Tl 0.4642 0.6676 0.3903
Br 0.0000 0.0000 0.0000
O 0.5000 0.0000 0.5000
O 0.1666 0.6669 0.5000
O 0.8334 0.3331 0.5000
O 0.6667 0.6666 0.0000
O 0.3333 0.3334 0.0000

***

DFT (PBE) results for an optimized crystal structure of Tl3BrO.

Properties
Formation energy from raw total energies (meV per atom): -463
Crystal system: cubic
Mass density (g cm⁻³): 7.80
Energy relative to the lowest polymorph listed for this composition (eV/f.u.): 1.05

Unit cell a=5.3253 b=5.3253 c=5.3253 alpha=90.00 beta=90.00 gamma=90.00
Element x y z (fractional)
Tl 0.0000 0.5000 0.0000
Tl 0.0000 0.0000 0.5000
Tl 0.5000 0.0000 0.0000
O 0.0000 0.0000 0.0000
Br 0.5000 0.5000 0.5000

***

DFT (PBE) results for an optimized crystal structure of TlBrO3.

Properties
Formation energy from raw total energies (meV per atom): -211
Crystal system: trigonal
Mass density (g cm⁻³): 5.60

Unit cell a=4.6428 b=4.6428 c=4.6428 alpha=84.11 beta=84.11 gamma=84.11
Element x y z (fractional)
Tl 0.0089 0.0089 0.0089
Br 0.5015 0.5015 0.5015
O 0.4346 0.8664 0.4346
O 0.8664 0.4346 0.4346
O 0.4346 0.4346 0.8664

***

DFT (PBE) results for an optimized crystal structure of Tl3BrO2.

Properties
Formation energy from raw total energies (meV per atom): -562
Crystal system: monoclinic
Mass density (g cm⁻³): 7.67

Unit cell a=4.0422 b=6.8866 c=12.3854 alpha=65.60 beta=90.00 gamma=90.00
Element x y z (fractional)
Tl 0.7500 0.8332 0.6520
Tl 0.2500 0.1668 0.3480
Tl 0.7500 0.6551 0.3779
Tl 0.2500 0.3449 0.6221
Tl 0.2500 0.1428 0.8816
Tl 0.7500 0.8572 0.1184
Br 0.2500 0.5847 0.8487
Br 0.7500 0.4153 0.1513
O 0.2500 0.4387 0.4261
O 0.7500 0.5613 0.5739
O 0.7500 0.9972 0.9162
O 0.2500 0.0028 0.0838